Computed, not measured: a relaxed PmPa3P4N12 crystal at the GGA-PBE level of DFT. Values from VASP.

```
&SYSTEM
  ibrav = 0, nat = 20, ntyp = 4
/
ATOMIC_SPECIES
N 14.01 N.upf
Pa 231.04 Pa.upf
P 30.97 P.upf
Pm 145.00 Pm.upf
CELL_PARAMETERS angstrom
-2.767 4.889 4.036
-4.287 -5.371 0.791
5.673 -1.933 3.455
ATOMIC_POSITIONS crystal
N 0.500 0.353 0.647
N 0.894 0.500 0.106
N 0.027 0.642 0.809
N 0.647 0.500 0.353
N 0.191 0.358 0.973
N 0.642 0.809 0.027
N 0.358 0.973 0.191
N 0.973 0.191 0.358
N 0.500 0.106 0.894
N 0.809 0.027 0.642
N 0.106 0.894 0.500
N 0.353 0.647 0.500
Pa 0.000 0.540 0.460
Pa 0.540 0.460 0.000
Pa 0.460 0.000 0.540
P 0.959 0.041 0.500
P 0.500 0.959 0.041
P 0.500 0.500 0.500
P 0.041 0.500 0.959
Pm 0.000 0.000 0.000
```

Results
Its space group is No. 155. The calculation puts the final energy at -8.597 eV per atom. As for the formation energy (no corrections): -0.8578 eV/atom. Its total magnetization is 0.00 μB/atom.